Model i:
A plane-wave DFT calculation with PBE-GGA was carried out for a geometry-optimized Ho6Er3Tm2 structure.

Results
Fermi-level density of states   16.64 states/eV/cell
Space-group type   I4/mmm

abc: 16.7022 16.7022 16.7022
angles: 163.94 163.94 22.78
With the nearest neighbours (Å) after each atom.
Positions (direct):
Ho 0.1210 0.6210 0.5000  6 Ho 3.30-3.40, 2 Tm 3.39, 2 Er 3.48
Ho 0.1965 0.1965 0.0000  5 Er 3.30-3.40, 4 Ho 3.40
Ho 0.3790 0.8790 0.5000  6 Ho 3.30-3.40, 2 Tm 3.39, 2 Er 3.48
Ho 0.6210 0.1210 0.5000  6 Ho 3.30-3.40, 2 Tm 3.39, 2 Er 3.48
Ho 0.8035 0.8035 0.0000  5 Er 3.30-3.40, 4 Ho 3.40
Ho 0.8790 0.3790 0.5000  6 Ho 3.30-3.40, 2 Tm 3.39, 2 Er 3.48
Er 0.3003 0.3003 0.0000  9 Ho 3.30-3.48
Er 0.5000 0.5000 0.0000  8 Tm 3.63
Er 0.6997 0.6997 0.0000  9 Ho 3.30-3.48
Tm 0.0460 0.0460 0.0000  1 Tm 3.02
Tm 0.9540 0.9540 0.0000  1 Tm 3.02

Model ii:
A plane-wave DFT calculation with PBE-GGA was carried out for a geometry-optimized Ho6Er3Tm2 structure.

Results
Fermi-level density of states   15.88 states/eV/cell
Space-group type   R-3m

abc: 31.5352 31.5352 31.5352
angles: 6.39 6.39 6.39
With the nearest neighbours (Å) after each atom.
Positions (direct):
Ho 0.0910 0.0910 0.0910  3 Tm 3.50, 3 Er 3.51, 6 Ho 3.52
Ho 0.1819 0.1819 0.1819  3 Tm 3.50, 9 Ho 3.52
Ho 0.3637 0.3637 0.3637  6 Er 3.51, 6 Ho 3.52
Ho 0.6363 0.6363 0.6363  6 Er 3.51, 6 Ho 3.52
Ho 0.8181 0.8181 0.8181  3 Tm 3.50, 9 Ho 3.52
Ho 0.9090 0.9090 0.9090  3 Tm 3.50, 3 Er 3.51, 6 Ho 3.52
Er 0.0000 0.0000 0.0000  6 Ho 3.51, 6 Er 3.52
Er 0.2727 0.2727 0.2727  6 Ho 3.51, 6 Er 3.52
Er 0.7273 0.7273 0.7273  6 Ho 3.51, 6 Er 3.52
Tm 0.4545 0.4545 0.4545  6 Ho 3.50, 6 Tm 3.52
Tm 0.5455 0.5455 0.5455  6 Ho 3.50, 6 Tm 3.52

The structure shown above that is least stable: model i.